(1)
# Nd2EuMn

Crystalline Nd2EuMn at its relaxed geometry (PBE, Alexandria via LeMat-Bulk).

Cell lengths 3.673, 3.673, 9.304 Å; angles 90.00, 90.00, 90.00 degrees
Space group P4/mmm (No. 123)
Symmetry-distinct sites (fractional):
Nd: 0.000 0.000 0.189
Eu: 0.500 0.500 0.500
Mn: 0.500 0.500 0.000

Values from the calculation:
ΔE_f in meV per atom: 185
Electronic total energy in eV/atom: -7.060
Calculated volume in Å³ per atom: 31.4
D(E_F) in states/eV per cell: 4.94

=====

(2)
# EuMnNi4

Crystalline EuMnNi4 at its relaxed geometry (PBE, Alexandria via LeMat-Bulk).

Cell lengths 8.474, 8.474, 8.474 Å; angles 90.00, 90.00, 90.00 degrees
Space group F-43m (No. 216)
Symmetry-distinct sites (fractional):
Eu: 0.000 0.000 0.000
Mn: 0.250 0.250 0.250
Ni: 0.155 0.155 0.845

Values from the calculation:
ΔE_f in meV per atom: 1623
Electronic total energy in eV/atom: -5.472
Calculated volume in Å³ per atom: 25.4
D(E_F) in states/eV per cell: 39.53

=====

The lowest calculated volume belongs to which entry?
EuMnNi4

=====

Which of these has the lowest ΔE_f?
Nd2EuMn

=====

What did the second record say?
# EuMnNi4

Crystalline EuMnNi4 at its relaxed geometry (PBE, Alexandria via LeMat-Bulk).

Cell lengths 8.474, 8.474, 8.474 Å; angles 90.00, 90.00, 90.00 degrees
Space group F-43m (No. 216)
Symmetry-distinct sites (fractional):
Eu: 0.000 0.000 0.000
Mn: 0.250 0.250 0.250
Ni: 0.155 0.155 0.845

Values from the calculation:
ΔE_f in meV per atom: 1623
Electronic total energy in eV/atom: -5.472
Calculated volume in Å³ per atom: 25.4
D(E_F) in states/eV per cell: 39.53

=====

What is the ΔE_f in the second record?
1623 meV per atom